A geometry-optimized PmSm2Cu4 structure, computed with GGA-PBE.

The space group is Fmmm (No. 69) and the conventional cell measures 6.776, 8.780 and 10.143 Å, with angles of 90.00, 90.00 and 90.00 degrees. The inequivalent atoms are Pm at (0.000, 0.000, 0.000), Sm at (0.000, 0.000, 0.321) and Cu at (0.250, 0.250, 0.125).

The formation energy is 0.03 eV/atom. The total magnetization comes out at 0.00 μB/cell.



A geometry-optimized PmSm2Cu structure, computed with GGA-PBE.

The space group is P4/mmm (No. 123) and the conventional cell measures 5.495, 5.495 and 3.653 Å, with angles of 90.00, 90.00 and 90.00 degrees. The inequivalent atoms are Pm at (0.000, 0.000, 0.000), Sm at (0.000, 0.500, 0.500) and Cu at (0.500, 0.500, 0.000).

For the energy relative to the lowest polymorph listed for this composition, the calculation gives 0.2124 eV/atom. The formation energy is 0.14 eV/atom. The total magnetization comes out at 0.00 μB/cell.



A geometry-optimized PmSm2Cu structure, computed with GGA-PBE.

The space group is P4/mmm (No. 123) and the conventional cell measures 3.596, 3.596 and 8.741 Å, with angles of 90.00, 90.00 and 90.00 degrees. The inequivalent atoms are Pm at (0.000, 0.000, 0.000), Sm at (0.500, 0.500, 0.304) and Cu at (0.000, 0.000, 0.500).

For the energy relative to the lowest polymorph listed for this composition, the calculation gives 0.0000 eV/atom. The formation energy is -0.07 eV/atom. The total magnetization comes out at 0.00 μB/cell.



Q: Which value of formation energy does entry 3 give?
A: -0.07 eV/atom



Q: Look up the total magnetization of the second one.
A: 0.00 μB/cell



Q: The lowest formation energy belongs to which entry?
A: number 3



What did the first record say?
A geometry-optimized PmSm2Cu4 structure, computed with GGA-PBE.

The space group is Fmmm (No. 69) and the conventional cell measures 6.776, 8.780 and 10.143 Å, with angles of 90.00, 90.00 and 90.00 degrees. The inequivalent atoms are Pm at (0.000, 0.000, 0.000), Sm at (0.000, 0.000, 0.321) and Cu at (0.250, 0.250, 0.125).

The formation energy is 0.03 eV/atom. The total magnetization comes out at 0.00 μB/cell.